A plane-wave DFT calculation with GGA-PBE was carried out for SmNbFe after structural relaxation.

Relative energy among the computed polymorphs ... 0 meV per atom
Space group ... F-43m
Total moment ... 0.06 μB/f.u.

a = 4.457 Å, b = 4.457 Å, c = 4.457 Å
α = 60.00°, β = 60.00°, γ = 60.00°
Each line ends with the local moment (μB).
Atoms (fractional coordinates):
Fe 0.000 0.000 0.000  0.07
Sm 0.750 0.750 0.750  0.00
Nb 0.250 0.250 0.250  -0.01